K2RbPrV2O8: optimized geometry, PBE with a Hubbard U.

Computed properties:
For the raw total energy, the calculation gives -6.753 eV per atom. As for the crystal system: trigonal. The value obtained for the spin magnetization is 0.00 μB/f.u. As for the density of states at the Fermi level: 0.0 states/eV per cell. The space group is No. 164.

Lattice parameters (Å, degrees): 6.156 6.156 7.913 90.00 90.00 120.00
Positions (direct):
O (0.667, 0.333, 0.971)
O (0.644, 0.822, 0.319)
Pr (0.000, 0.000, 0.500)
Rb (0.000, 0.000, 0.000)
O (0.822, 0.178, 0.681)
O (0.356, 0.178, 0.681)
V (0.667, 0.333, 0.758)
O (0.822, 0.644, 0.681)
K (0.667, 0.333, 0.299)
V (0.333, 0.667, 0.242)
O (0.178, 0.822, 0.319)
O (0.178, 0.356, 0.319)
K (0.333, 0.667, 0.701)
O (0.333, 0.667, 0.029)